Entry 1:
LaDy2In3CuAg2: optimized geometry, PBE-GGA.

Cell and atoms, written as extended XYZ:
```
9
Lattice="3.966 0.000 0.000 0.000 6.846 3.928 0.000 -6.846 3.928" Properties=species:S:1:pos:R:3 pbc="T T T"
Ag 1.983 2.353 3.939
Ag 1.983 -2.353 3.939
Cu 0.000 0.000 7.828
Dy 0.000 4.105 2.359
Dy 0.000 -4.105 2.359
In 1.983 5.112 4.874
In 1.983 0.000 5.927
In 1.983 -5.112 4.874
La 0.000 0.000 3.182
```

Properties
- DFT total energy: -3.947 eV/atom
- V: 23.71 A^3/atom

***

Entry 2:
Y5Ho2Er: optimized geometry, PBE-GGA.

Cell and atoms, written as extended XYZ:
```
8
Lattice="5.623 0.000 0.000 0.000 3.625 6.280 0.000 -3.625 6.280" Properties=species:S:1:pos:R:3 pbc="T T T"
Er 0.000 0.000 10.459
Ho 0.000 0.000 4.183
Ho 2.812 0.000 8.382
Y 2.812 1.811 5.223
Y 2.812 0.000 2.103
Y 0.000 1.806 7.333
Y 2.812 -1.811 5.223
Y 0.000 -1.806 7.333
```

Properties
- DFT total energy: -5.753 eV/atom
- V: 32.01 A^3/atom
- ΔE_f: 0.02 eV/f.u.

***

Entry 3:
NdAl2Pt3: optimized geometry, PBE-GGA.

Cell and atoms, written as extended XYZ:
```
6
Lattice="-0.655 0.408 5.561 -0.797 -4.929 -2.566 3.855 -0.893 0.520" Properties=species:S:1:pos:R:3 pbc="T T T"
Al -0.702 -1.371 2.852
Al -0.749 -3.150 0.143
Nd 0.000 0.000 0.000
Pt 1.600 -0.243 3.040
Pt 1.529 -2.911 -1.023
Pt 1.202 -2.708 1.757
```

Properties
- DFT total energy: -6.164 eV/atom
- V: 18.16 A^3/atom

***

Entry 4:
PrSm: optimized geometry, PBE-GGA.

Cell and atoms, written as extended XYZ:
```
2
Lattice="3.677 0.000 0.000 -1.838 3.184 0.000 0.000 0.000 5.962" Properties=species:S:1:pos:R:3 pbc="T T T"
Pr 1.838 1.061 4.472
Sm 0.000 2.123 1.491
```

Properties
- DFT total energy: -4.725 eV/atom
- V: 34.90 A^3/atom
- ΔE_f: 0.04 eV/f.u.

***

Entry 5:
BaNdTe2AuSe: optimized geometry, PBE-GGA.

Cell and atoms, written as extended XYZ:
```
12
Lattice="4.310 -0.780 6.622 -4.936 4.471 -4.322 -8.665 -4.642 5.093" Properties=species:S:1:pos:R:3 pbc="T T T"
Au 1.864 -1.782 7.565
Au -11.156 0.831 -0.173
Ba -4.921 2.072 -0.467
Ba -4.371 -3.023 7.860
Nd -0.313 1.846 1.150
Nd -4.646 -0.475 3.696
Se -1.786 0.291 3.244
Se -7.505 -1.242 4.149
Te 2.473 -0.273 5.309
Te -0.888 -2.073 7.284
Te -8.404 1.122 0.109
Te -11.764 -0.678 2.084
```

Properties
- DFT total energy: -4.627 eV/atom
- V: 30.93 A^3/atom

***

Entry 6:
U3Ni: optimized geometry, PBE-GGA.

Cell and atoms, written as extended XYZ:
```
4
Lattice="4.619 0.510 0.067 -0.496 4.612 0.286 -2.087 -2.767 3.097" Properties=species:S:1:pos:R:3 pbc="T T T"
Ni 0.000 0.000 0.000
U 2.062 2.561 0.177
U 2.297 0.152 1.670
U -0.260 2.203 1.780
```

Properties
- DFT total energy: -9.858 eV/atom
- V: 17.71 A^3/atom
- ΔE_f: 0.03 eV/f.u.

***

- DFT total energy of number 3 (NdAl2Pt3)?
  -6.164 eV/atom